(1)
Tl2TePt | PBE | optimized geometry

The structure in CIF format:
```
data_Tl2TePt
_cell_length_a 11.653
_cell_length_b 11.653
_cell_length_c 11.653
_cell_angle_alpha 16.00
_cell_angle_beta 16.00
_cell_angle_gamma 16.00
_space_group_name_H-M_alt 'P 1'
_space_group_IT_number 1
_space_group_name_Hall 'P 1'
loop_
_atom_site_label
_atom_site_type_symbol
_atom_site_fract_x
_atom_site_fract_y
_atom_site_fract_z
_atom_site_occupancy
Tl1 Tl 0.235 0.235 0.235 1
Tl2 Tl 0.765 0.765 0.765 1
Te1 Te 0.000 0.000 0.000 1
Pt1 Pt 0.500 0.500 0.500 1
```

Values from the calculation:
Raw total energy (eV per atom): -3.313
SG: R-3m (166)
Formation energy without anion corrections (eV per atom): 0.165
Crystal system: trigonal

(2)
V4Pt5 | PBE | optimized geometry

The structure in CIF format:
```
data_V4Pt5
_cell_length_a 7.547
_cell_length_b 7.547
_cell_length_c 5.397
_cell_angle_alpha 90.00
_cell_angle_beta 90.00
_cell_angle_gamma 120.00
_space_group_name_H-M_alt 'P 1'
_space_group_IT_number 1
_space_group_name_Hall 'P 1'
loop_
_atom_site_label
_atom_site_type_symbol
_atom_site_fract_x
_atom_site_fract_y
_atom_site_fract_z
_atom_site_occupancy
V1 V 0.000 0.000 0.000 1
V2 V 0.000 0.000 0.500 1
V3 V 0.000 0.325 0.250 1
V4 V 0.000 0.675 0.750 1
V5 V 0.325 0.000 0.250 1
V6 V 0.325 0.325 0.750 1
V7 V 0.675 0.000 0.750 1
V8 V 0.675 0.675 0.250 1
Pt1 Pt 0.000 0.328 0.750 1
Pt2 Pt 0.000 0.672 0.250 1
Pt3 Pt 0.328 0.000 0.750 1
Pt4 Pt 0.328 0.328 0.250 1
Pt5 Pt 0.333 0.667 0.000 1
Pt6 Pt 0.333 0.667 0.500 1
Pt7 Pt 0.667 0.333 0.000 1
Pt8 Pt 0.667 0.333 0.500 1
Pt9 Pt 0.672 0.000 0.250 1
Pt10 Pt 0.672 0.672 0.750 1
```

Values from the calculation:
Raw total energy (eV per atom): -7.832
Formation energy (eV per atom): -0.424
SG: P6_3/mcm (193)
Crystal system: hexagonal

(3)
SrLaTe2 | PBE | optimized geometry

The structure in CIF format:
```
data_SrLaTe2
_cell_length_a 4.658
_cell_length_b 4.658
_cell_length_c 22.839
_cell_angle_alpha 90.00
_cell_angle_beta 90.00
_cell_angle_gamma 120.00
_space_group_name_H-M_alt 'P 1'
_space_group_IT_number 1
_space_group_name_Hall 'P 1'
loop_
_atom_site_label
_atom_site_type_symbol
_atom_site_fract_x
_atom_site_fract_y
_atom_site_fract_z
_atom_site_occupancy
Sr1 Sr 0.000 0.000 0.000 1
Sr2 Sr 0.333 0.667 0.172 1
Sr3 Sr 0.667 0.333 0.828 1
La1 La 0.000 0.000 0.500 1
La2 La 0.333 0.667 0.657 1
La3 La 0.667 0.333 0.343 1
Te1 Te 0.000 0.000 0.258 1
Te2 Te 0.000 0.000 0.742 1
Te3 Te 0.333 0.667 0.420 1
Te4 Te 0.333 0.667 0.914 1
Te5 Te 0.667 0.333 0.086 1
Te6 Te 0.667 0.333 0.580 1
```

Values from the calculation:
Raw total energy (eV per atom): -4.882
SG: P-3m1 (164)
Formation energy without anion corrections (eV per atom): -1.659
Crystal system: trigonal

(4)
BaZrRu2 | PBE | optimized geometry

The structure in CIF format:
```
data_BaZrRu2
_cell_length_a 4.964
_cell_length_b 4.964
_cell_length_c 3.400
_cell_angle_alpha 90.00
_cell_angle_beta 90.00
_cell_angle_gamma 90.00
_space_group_name_H-M_alt 'P 1'
_space_group_IT_number 1
_space_group_name_Hall 'P 1'
loop_
_atom_site_label
_atom_site_type_symbol
_atom_site_fract_x
_atom_site_fract_y
_atom_site_fract_z
_atom_site_occupancy
Ba1 Ba 0.000 0.000 0.000 1
Zr1 Zr 0.500 0.500 0.000 1
Ru1 Ru 0.000 0.500 0.500 1
Ru2 Ru 0.500 0.000 0.500 1
```

Values from the calculation:
Raw total energy (eV per atom): -6.736
Formation energy (eV per atom): 0.520
SG: P4/mmm (123)
Crystal system: tetragonal

(5)
PmDy4Y3 | PBE | optimized geometry

The structure in CIF format:
```
data_PmDy4Y3
_cell_length_a 11.901
_cell_length_b 11.901
_cell_length_c 6.723
_cell_angle_alpha 106.35
_cell_angle_beta 106.35
_cell_angle_gamma 16.75
_space_group_name_H-M_alt 'P 1'
_space_group_IT_number 1
_space_group_name_Hall 'P 1'
loop_
_atom_site_label
_atom_site_type_symbol
_atom_site_fract_x
_atom_site_fract_y
_atom_site_fract_z
_atom_site_occupancy
Pm1 Pm 0.000 0.000 0.000 1
Dy1 Dy 0.240 0.240 0.244 1
Dy2 Dy 0.375 0.375 0.630 1
Dy3 Dy 0.625 0.625 0.370 1
Dy4 Dy 0.760 0.760 0.756 1
Y1 Y 0.373 0.373 0.117 1
Y2 Y 0.500 0.500 0.500 1
Y3 Y 0.627 0.627 0.883 1
```

Values from the calculation:
Raw total energy (eV per atom): -5.144
Formation energy (eV per atom): 0.174
SG: C2/m (12)
Crystal system: monoclinic

(6)
KMgAl2Ir | PBE | optimized geometry

The structure in CIF format:
```
data_KMgAl2Ir
_cell_length_a 4.831
_cell_length_b 4.831
_cell_length_c 5.163
_cell_angle_alpha 90.00
_cell_angle_beta 90.00
_cell_angle_gamma 90.00
_space_group_name_H-M_alt 'P 1'
_space_group_IT_number 1
_space_group_name_Hall 'P 1'
loop_
_atom_site_label
_atom_site_type_symbol
_atom_site_fract_x
_atom_site_fract_y
_atom_site_fract_z
_atom_site_occupancy
K1 K 0.000 0.000 0.000 1
Mg1 Mg 0.500 0.500 0.000 1
Al1 Al 0.000 0.500 0.500 1
Al2 Al 0.500 0.000 0.500 1
Ir1 Ir 0.500 0.500 0.500 1
```

Values from the calculation:
Raw total energy (eV per atom): -4.127
Formation energy (eV per atom): -0.320
SG: P4/mmm (123)
Crystal system: tetragonal

(7)
Na4LaTb3Te8 | PBE | optimized geometry

The structure in CIF format:
```
data_Na4LaTb3Te8
_cell_length_a 9.167
_cell_length_b 9.167
_cell_length_c 9.167
_cell_angle_alpha 58.71
_cell_angle_beta 58.71
_cell_angle_gamma 58.71
_space_group_name_H-M_alt 'P 1'
_space_group_IT_number 1
_space_group_name_Hall 'P 1'
loop_
_atom_site_label
_atom_site_type_symbol
_atom_site_fract_x
_atom_site_fract_y
_atom_site_fract_z
_atom_site_occupancy
Na1 Na 0.000 0.000 0.000 1
Na2 Na 0.000 0.500 0.500 1
Na3 Na 0.500 0.000 0.500 1
Na4 Na 0.500 0.500 0.000 1
La1 La 0.500 0.500 0.500 1
Tb1 Tb 0.000 0.000 0.500 1
Tb2 Tb 0.000 0.500 0.000 1
Tb3 Tb 0.500 0.000 0.000 1
Te1 Te 0.236 0.750 0.750 1
Te2 Te 0.244 0.244 0.244 1
Te3 Te 0.250 0.250 0.764 1
Te4 Te 0.250 0.764 0.250 1
Te5 Te 0.750 0.236 0.750 1
Te6 Te 0.750 0.750 0.236 1
Te7 Te 0.756 0.756 0.756 1
Te8 Te 0.764 0.250 0.250 1
```

Values from the calculation:
Raw total energy (eV per atom): -4.416
SG: R-3m (166)
Formation energy without anion corrections (eV per atom): -1.339
Crystal system: trigonal

(8)
BaWN3 | PBE | optimized geometry

The structure in CIF format:
```
data_BaWN3
_cell_length_a 8.273
_cell_length_b 8.273
_cell_length_c 5.199
_cell_angle_alpha 90.90
_cell_angle_beta 90.90
_cell_angle_gamma 90.71
_space_group_name_H-M_alt 'P 1'
_space_group_IT_number 1
_space_group_name_Hall 'P 1'
loop_
_atom_site_label
_atom_site_type_symbol
_atom_site_fract_x
_atom_site_fract_y
_atom_site_fract_z
_atom_site_occupancy
Ba1 Ba 0.097 0.335 0.220 1
Ba2 Ba 0.335 0.097 0.720 1
Ba3 Ba 0.665 0.903 0.280 1
Ba4 Ba 0.903 0.665 0.780 1
W1 W 0.197 0.803 0.250 1
W2 W 0.427 0.573 0.750 1
W3 W 0.573 0.427 0.250 1
W4 W 0.803 0.197 0.750 1
N1 N 0.019 0.239 0.701 1
N2 N 0.239 0.019 0.201 1
N3 N 0.247 0.667 0.959 1
N4 N 0.333 0.753 0.541 1
N5 N 0.383 0.395 0.504 1
N6 N 0.395 0.383 0.004 1
N7 N 0.605 0.617 0.996 1
N8 N 0.617 0.605 0.496 1
N9 N 0.667 0.247 0.459 1
N10 N 0.753 0.333 0.041 1
N11 N 0.761 0.981 0.799 1
N12 N 0.981 0.761 0.299 1
```

Values from the calculation:
Raw total energy (eV per atom): -8.346
SG: C2/c (15)
Formation energy without anion corrections (eV per atom): -0.376
Crystal system: monoclinic

no.,total magnetization (Bohr magnetons per cell)
1,0.0
2,0.0
3,0.0
4,0.0
5,0.0
6,0.0
7,0.0
8,0.0